(1)
# PuHf7Zr4, relaxed, DFT PBE-GGA
# Formation energy ... 3.71 eV/f.u.
data_PuHf7Zr4
_chemical_formula_sum 'Pu2 Hf14 Zr8'
_space_group_name_H-M_alt 'C 1 2/m 1'
_space_group_IT_number 12
_cell_length_a 14.235
_cell_length_b 5.325
_cell_length_c 8.353
_cell_angle_alpha 90.00
_cell_angle_beta 117.91
_cell_angle_gamma 90.00
loop_
_space_group_symop_operation_xyz
'x,y,z'
'-x,-y,-z'
'-x,y,-z'
'x,-y,z'
'x+1/2,y+1/2,z'
'-x+1/2,-y+1/2,-z'
'-x+1/2,y+1/2,-z'
'x+1/2,-y+1/2,z'
loop_
_atom_site_label
_atom_site_type_symbol
_atom_site_fract_x
_atom_site_fract_y
_atom_site_fract_z
Pu1 Pu 0.000 0.000 0.000
Hf1 Hf 0.000 0.500 0.000
Hf2 Hf 0.070 0.000 0.698
Hf3 Hf 0.173 0.000 0.376
Hf4 Hf 0.214 0.500 0.878
Zr1 Zr 0.084 0.500 0.450
Zr2 Zr 0.215 0.500 0.233

---

(2)
# PuHf2Zr, relaxed, DFT PBE-GGA
# E above lowest polymorph ... 0.047 eV/atom
# Formation energy ... 0.49 eV/f.u.
data_PuHf2Zr
_chemical_formula_sum 'Pu3 Hf6 Zr3'
_space_group_name_H-M_alt 'R -3 m'
_space_group_IT_number 166
_space_group_name_Hall '-R 3 2"'
_cell_length_a 3.2092
_cell_length_b 3.2092
_cell_length_c 31.2008
_cell_angle_alpha 90.00
_cell_angle_beta 90.00
_cell_angle_gamma 120.00
loop_
_atom_site_label
_atom_site_type_symbol
_atom_site_fract_x
_atom_site_fract_y
_atom_site_fract_z
Pu1 Pu 0.0000 0.0000 0.0000
Hf1 Hf 0.0000 0.0000 0.2485
Zr1 Zr 0.0000 0.0000 0.5000

---

Please write out number 1 again, unchanged.
# PuHf7Zr4, relaxed, DFT PBE-GGA
# Formation energy ... 3.71 eV/f.u.
data_PuHf7Zr4
_chemical_formula_sum 'Pu2 Hf14 Zr8'
_space_group_name_H-M_alt 'C 1 2/m 1'
_space_group_IT_number 12
_cell_length_a 14.235
_cell_length_b 5.325
_cell_length_c 8.353
_cell_angle_alpha 90.00
_cell_angle_beta 117.91
_cell_angle_gamma 90.00
loop_
_space_group_symop_operation_xyz
'x,y,z'
'-x,-y,-z'
'-x,y,-z'
'x,-y,z'
'x+1/2,y+1/2,z'
'-x+1/2,-y+1/2,-z'
'-x+1/2,y+1/2,-z'
'x+1/2,-y+1/2,z'
loop_
_atom_site_label
_atom_site_type_symbol
_atom_site_fract_x
_atom_site_fract_y
_atom_site_fract_z
Pu1 Pu 0.000 0.000 0.000
Hf1 Hf 0.000 0.500 0.000
Hf2 Hf 0.070 0.000 0.698
Hf3 Hf 0.173 0.000 0.376
Hf4 Hf 0.214 0.500 0.878
Zr1 Zr 0.084 0.500 0.450
Zr2 Zr 0.215 0.500 0.233

---

Which of these has the highest formation energy?
PuHf7Zr4

---

formation energy of number 1 (PuHf7Zr4)?
3.71 eV/f.u.

---

The lowest formation energy belongs to which entry?
PuHf2Zr